First-principles (PBE) data for a relaxed LuZnCuHg crystal, as listed in OQMD.

Summary:
Energy above the lowest structure with this stoichiometry = 0 meV per atom
Crystal system = cubic
V = 18.5 Å³ per atom
ΔE_f = -0.21 eV per atom
Electronic total energy = -2.663 eV per atom

Unit cell a=4.7148 b=4.7148 c=4.7148 alpha=60.00 beta=60.00 gamma=60.00
Element x y z (fractional)
1 Lu 0.0000 0.0000 0.0000
2 Zn 0.5000 0.5000 0.5000
3 Cu 0.7500 0.7500 0.7500
4 Hg 0.2500 0.2500 0.2500